AlInTe4: optimized geometry, PBE.

Output
Polymorph energy (0 for the lowest one): 2.85 eV/f.u.
E_tot: -2.87 eV/atom
Formation energy (no corrections): 0.302 eV per atom

POSCAR file:
```
AlInTe4
1.0
0.0000 4.5720 4.5720
4.5720 0.0000 4.5720
4.5720 4.5720 0.0000
Al In Te
1 1 4
Cartesian
0.0000 0.0000 0.0000
6.8580 6.8580 6.8580
3.4269 3.4269 3.4269
5.7170 5.7170 3.4269
5.7170 3.4269 5.7170
3.4269 5.7170 5.7170
```